# 1
BaCa3: relaxed, PBE-GGA.

Structure (CIF):
```
data_BaCa3
_chemical_formula_sum 'Ba1 Ca3'
_space_group_name_H-M_alt 'P 1'
_space_group_IT_number 1
_cell_length_a 7.3180
_cell_length_b 7.3180
_cell_length_c 7.3180
_cell_angle_alpha 90.00
_cell_angle_beta 90.00
_cell_angle_gamma 90.00
loop_
_space_group_symop_operation_xyz
'x,y,z'
loop_
_atom_site_label
_atom_site_type_symbol
_atom_site_fract_x
_atom_site_fract_y
_atom_site_fract_z
Ca1 Ca 0.0000 0.0000 0.5000
Ca2 Ca 0.0000 0.5000 0.0000
Ca3 Ca 0.5000 0.0000 0.0000
Ba1 Ba 0.0000 0.0000 0.0000
```

Computed properties:
Space-group type ... No. 221
Total energy ... -0.82 eV per atom



# 2
BaCa: relaxed, PBE-GGA.

Structure (CIF):
```
data_BaCa
_chemical_formula_sum 'Ba6 Ca6'
_space_group_name_H-M_alt 'P 1'
_space_group_IT_number 1
_cell_length_a 13.8981
_cell_length_b 13.8981
_cell_length_c 3.9717
_cell_angle_alpha 90.00
_cell_angle_beta 90.00
_cell_angle_gamma 120.00
loop_
_space_group_symop_operation_xyz
'x,y,z'
loop_
_atom_site_label
_atom_site_type_symbol
_atom_site_fract_x
_atom_site_fract_y
_atom_site_fract_z
Ca1 Ca 0.1464 0.5327 0.7500
Ca2 Ca 0.4673 0.6137 0.7500
Ca3 Ca 0.8536 0.4673 0.2500
Ca4 Ca 0.5327 0.3863 0.2500
Ca5 Ca 0.3863 0.8536 0.7500
Ca6 Ca 0.6137 0.1464 0.2500
Ba1 Ba 0.0597 0.7611 0.7500
Ba2 Ba 0.7611 0.7014 0.2500
Ba3 Ba 0.7014 0.9403 0.7500
Ba4 Ba 0.9403 0.2389 0.2500
Ba5 Ba 0.2986 0.0597 0.2500
Ba6 Ba 0.2389 0.2986 0.7500
```

Computed properties:
Space-group type ... No. 176
Polymorph energy (0 for the lowest one) ... 182 meV/atom



# 3
Ba4Ca: relaxed, PBE-GGA.

Structure (CIF):
```
data_Ba4Ca
_chemical_formula_sum 'Ba4 Ca1'
_space_group_name_H-M_alt 'P 1'
_space_group_IT_number 1
_cell_length_a 5.3096
_cell_length_b 5.3096
_cell_length_c 11.7372
_cell_angle_alpha 76.93
_cell_angle_beta 76.93
_cell_angle_gamma 90.00
loop_
_space_group_symop_operation_xyz
'x,y,z'
loop_
_atom_site_label
_atom_site_type_symbol
_atom_site_fract_x
_atom_site_fract_y
_atom_site_fract_z
Ba1 Ba 0.4087 0.4087 0.1826
Ba2 Ba 0.2500 0.7500 0.5000
Ba3 Ba 0.7500 0.2500 0.5000
Ba4 Ba 0.5913 0.5913 0.8174
Ca1 Ca 0.0000 0.0000 0.0000
```

Computed properties:
Space-group type ... No. 139
Polymorph energy (0 for the lowest one) ... 145 meV/atom



# 4
BaCa2: relaxed, PBE-GGA.

Structure (CIF):
```
data_BaCa2
_chemical_formula_sum 'Ba2 Ca4'
_space_group_name_H-M_alt 'P 1'
_space_group_IT_number 1
_cell_length_a 8.0262
_cell_length_b 8.0262
_cell_length_c 9.5410
_cell_angle_alpha 75.08
_cell_angle_beta 75.08
_cell_angle_gamma 29.64
loop_
_space_group_symop_operation_xyz
'x,y,z'
loop_
_atom_site_label
_atom_site_type_symbol
_atom_site_fract_x
_atom_site_fract_y
_atom_site_fract_z
Ca1 Ca 0.2899 0.2899 0.9402
Ca2 Ca 0.9879 0.9879 0.0042
Ca3 Ca 0.3390 0.3390 0.3301
Ca4 Ca 0.9387 0.9387 0.6143
Ba1 Ba 0.6659 0.6659 0.6784
Ba2 Ba 0.6118 0.6118 0.2661
```

Computed properties:
Space-group type ... No. 12
Polymorph energy (0 for the lowest one) ... 12 meV/atom



# 5
BaCa: relaxed, PBE-GGA.

Structure (CIF):
```
data_BaCa
_chemical_formula_sum 'Ba2 Ca2'
_space_group_name_H-M_alt 'P 1'
_space_group_IT_number 1
_cell_length_a 6.8827
_cell_length_b 4.2022
_cell_length_c 7.2433
_cell_angle_alpha 90.00
_cell_angle_beta 90.00
_cell_angle_gamma 90.00
loop_
_space_group_symop_operation_xyz
'x,y,z'
loop_
_atom_site_label
_atom_site_type_symbol
_atom_site_fract_x
_atom_site_fract_y
_atom_site_fract_z
Ba1 Ba 0.7500 0.0000 0.6756
Ba2 Ba 0.2500 0.0000 0.3244
Ca1 Ca 0.2500 0.5000 0.8332
Ca2 Ca 0.7500 0.5000 0.1668
```

Computed properties:
Space-group type ... No. 51
Polymorph energy (0 for the lowest one) ... 9 meV/atom



# 6
Ba6Ca: relaxed, PBE-GGA.

Structure (CIF):
```
data_Ba6Ca
_chemical_formula_sum 'Ba6 Ca1'
_space_group_name_H-M_alt 'P 1'
_space_group_IT_number 1
_cell_length_a 6.9572
_cell_length_b 6.9572
_cell_length_c 9.5065
_cell_angle_alpha 90.00
_cell_angle_beta 90.00
_cell_angle_gamma 90.00
loop_
_space_group_symop_operation_xyz
'x,y,z'
loop_
_atom_site_label
_atom_site_type_symbol
_atom_site_fract_x
_atom_site_fract_y
_atom_site_fract_z
Ba1 Ba 0.0000 0.0000 0.5000
Ba2 Ba 0.5000 0.0000 0.7516
Ba3 Ba 0.5000 0.5000 0.0000
Ba4 Ba 0.5000 0.0000 0.2484
Ba5 Ba 0.0000 0.5000 0.7516
Ba6 Ba 0.0000 0.5000 0.2484
Ca1 Ca 0.0000 0.0000 0.0000
```

Computed properties:
Space-group type ... No. 123
Polymorph energy (0 for the lowest one) ... 177 meV/atom